Entry 1:
# SrNbCr3 PBE relaxed
data_SrNbCr3
_space_group_name_H-M_alt 'P 1'
_space_group_IT_number 1
_space_group_name_Hall 'P 1'
_cell_length_a 4.898
_cell_length_b 4.898
_cell_length_c 4.898
_cell_angle_alpha 90.00
_cell_angle_beta 90.00
_cell_angle_gamma 90.00
loop_
_atom_site_label
_atom_site_type_symbol
_atom_site_fract_x
_atom_site_fract_y
_atom_site_fract_z
Cr1 Cr 0.000 0.500 0.000
Nb1 Nb 0.000 0.000 0.000
Cr2 Cr 0.500 0.000 0.000
Cr3 Cr 0.000 0.000 0.500
Sr1 Sr 0.500 0.500 0.500
# Theoretical density (Mg/m³): 4.75
# Total magnetic moment (μB per formula unit): 8.8
# Symmetry: No. 221
# E (eV/atom): -7.027
# DFT formation energy (meV per atom): 1097

Entry 2:
# Sr3NbCr PBE relaxed
data_Sr3NbCr
_space_group_name_H-M_alt 'P 1'
_space_group_IT_number 1
_space_group_name_Hall 'P 1'
_cell_length_a 6.038
_cell_length_b 6.038
_cell_length_c 6.038
_cell_angle_alpha 90.00
_cell_angle_beta 90.00
_cell_angle_gamma 90.00
loop_
_atom_site_label
_atom_site_type_symbol
_atom_site_fract_x
_atom_site_fract_y
_atom_site_fract_z
Sr1 Sr 0.500 0.000 0.000
Nb1 Nb 0.500 0.500 0.500
Cr1 Cr 0.000 0.000 0.000
Sr2 Sr 0.000 0.000 0.500
Sr3 Sr 0.000 0.500 0.000
# Theoretical density (Mg/m³): 3.08
# Total magnetic moment (μB per formula unit): 0.2
# Symmetry: No. 221
# E (eV/atom): -3.673
# DFT formation energy (meV per atom): 1274

Entry 3:
# SrNb3Cr PBE relaxed
data_SrNb3Cr
_space_group_name_H-M_alt 'P 1'
_space_group_IT_number 1
_space_group_name_Hall 'P 1'
_cell_length_a 4.793
_cell_length_b 4.793
_cell_length_c 4.793
_cell_angle_alpha 90.00
_cell_angle_beta 90.00
_cell_angle_gamma 90.00
loop_
_atom_site_label
_atom_site_type_symbol
_atom_site_fract_x
_atom_site_fract_y
_atom_site_fract_z
Nb1 Nb 0.500 0.000 0.000
Nb2 Nb 0.000 0.500 0.000
Sr1 Sr 0.000 0.000 0.000
Nb3 Nb 0.000 0.000 0.500
Cr1 Cr 0.500 0.500 0.500
# Theoretical density (Mg/m³): 6.31
# Total magnetic moment (μB per formula unit): 0.0
# Symmetry: No. 221
# E (eV/atom): -5.313
# DFT formation energy (meV per atom): 2990

Entry 4:
# SrNb2Cr PBE relaxed
data_SrNb2Cr
_space_group_name_H-M_alt 'P 1'
_space_group_IT_number 1
_space_group_name_Hall 'P 1'
_cell_length_a 4.937
_cell_length_b 4.937
_cell_length_c 10.075
_cell_angle_alpha 75.82
_cell_angle_beta 75.82
_cell_angle_gamma 90.00
loop_
_atom_site_label
_atom_site_type_symbol
_atom_site_fract_x
_atom_site_fract_y
_atom_site_fract_z
Nb1 Nb 0.875 0.625 0.750
Sr1 Sr 0.000 0.000 0.000
Nb2 Nb 0.375 0.125 0.250
Cr1 Cr 0.500 0.500 0.000
Nb3 Nb 0.375 0.625 0.750
Cr2 Cr 0.250 0.750 0.500
Sr2 Sr 0.750 0.250 0.500
Nb4 Nb 0.375 0.625 0.250
# Theoretical density (Mg/m³): 4.69
# Total magnetic moment (μB per formula unit): 2.5
# Symmetry: No. 141
# E (eV/atom): -6.564
# DFT formation energy (meV per atom): 1298

Entry 5:
# SrNbCr3 PBE relaxed
data_SrNbCr3
_space_group_name_H-M_alt 'P 1'
_space_group_IT_number 1
_space_group_name_Hall 'P 1'
_cell_length_a 4.838
_cell_length_b 4.838
_cell_length_c 4.838
_cell_angle_alpha 90.00
_cell_angle_beta 90.00
_cell_angle_gamma 90.00
loop_
_atom_site_label
_atom_site_type_symbol
_atom_site_fract_x
_atom_site_fract_y
_atom_site_fract_z
Cr1 Cr 0.000 0.500 0.000
Nb1 Nb 0.500 0.500 0.500
Sr1 Sr 0.000 0.000 0.000
Cr2 Cr 0.000 0.000 0.500
Cr3 Cr 0.500 0.000 0.000
# Theoretical density (Mg/m³): 4.94
# Total magnetic moment (μB per formula unit): 8.9
# Symmetry: No. 221
# E (eV/atom): -5.630
# DFT formation energy (meV per atom): 2494

Entry 6:
# Sr3NbCr PBE relaxed
data_Sr3NbCr
_space_group_name_H-M_alt 'P 1'
_space_group_IT_number 1
_space_group_name_Hall 'P 1'
_cell_length_a 5.873
_cell_length_b 5.873
_cell_length_c 5.873
_cell_angle_alpha 90.00
_cell_angle_beta 90.00
_cell_angle_gamma 90.00
loop_
_atom_site_label
_atom_site_type_symbol
_atom_site_fract_x
_atom_site_fract_y
_atom_site_fract_z
Cr1 Cr 0.500 0.500 0.500
Sr1 Sr 0.000 0.000 0.500
Sr2 Sr 0.500 0.000 0.000
Nb1 Nb 0.000 0.000 0.000
Sr3 Sr 0.000 0.500 0.000
# Theoretical density (Mg/m³): 3.34
# Total magnetic moment (μB per formula unit): 4.7
# Symmetry: No. 221
# E (eV/atom): -3.683
# DFT formation energy (meV per atom): 1265

| no. | polymorph energy (0 for the lowest one) (eV/atom) | density of states at the Fermi level (states/eV per cell) |
| --- | --- | --- |
| 1 | 0.0000 | 3.087 |
| 2 | 0.0093 | 6.118 |
| 3 | 2.1468 | 15.904 |
| 4 | 0.2140 | 8.709 |
| 5 | 1.3965 | 5.106 |
| 6 | 0.0000 | 3.119 |